1.
CrAgTe, optimized geometry, DFT PBE; ΔE_f (raw) = 14 kJ/mol of atoms
1.0
4.475 0.000 0.000
0.000 4.475 0.000
0.000 0.000 6.455
Cr Ag Te
2 2 2
direct
0.250 0.750 0.000 Cr
0.750 0.250 0.000 Cr
0.250 0.250 0.283 Ag
0.750 0.750 0.717 Ag
0.250 0.250 0.734 Te
0.750 0.750 0.266 Te



2.
HoSc2Os, optimized geometry, DFT PBE; DFT formation energy = -0.287 eV per atom
1.0
1.956 -5.549 0.000
1.956 5.549 0.000
0.000 0.000 8.438
Ho Sc Os
2 4 2
direct
0.065 0.935 0.750 Ho
0.935 0.065 0.250 Ho
0.351 0.649 0.564 Sc
0.351 0.649 0.936 Sc
0.649 0.351 0.064 Sc
0.649 0.351 0.436 Sc
0.248 0.752 0.250 Os
0.752 0.248 0.750 Os



3.
Ce3In4Pt4, optimized geometry, DFT PBE; DFT formation energy = -0.823 eV per atom
1.0
-2.018 4.023 7.729
2.018 -4.023 7.729
2.018 4.023 -7.729
Ce In Pt
3 4 4
direct
0.000 0.000 0.000 Ce
0.388 0.888 0.500 Ce
0.612 0.112 0.500 Ce
0.023 0.329 0.694 In
0.365 0.671 0.694 In
0.635 0.329 0.306 In
0.977 0.671 0.306 In
0.239 0.239 0.000 Pt
0.297 0.500 0.797 Pt
0.703 0.500 0.203 Pt
0.761 0.761 0.000 Pt



4.
La3Hg5Bi, optimized geometry, DFT PBE; DFT formation energy = -0.531 eV per atom
1.0
9.370 0.000 0.000
-4.685 8.115 0.000
0.000 0.000 6.728
La Hg Bi
6 10 2
direct
0.000 0.318 0.250 La
0.000 0.682 0.750 La
0.318 0.000 0.250 La
0.318 0.318 0.750 La
0.682 0.000 0.750 La
0.682 0.682 0.250 La
0.000 0.354 0.750 Hg
0.000 0.646 0.250 Hg
0.333 0.667 0.000 Hg
0.333 0.667 0.500 Hg
0.354 0.000 0.750 Hg
0.354 0.354 0.250 Hg
0.646 0.000 0.250 Hg
0.646 0.646 0.750 Hg
0.667 0.333 0.000 Hg
0.667 0.333 0.500 Hg
0.000 0.000 0.000 Bi
0.000 0.000 0.500 Bi



5.
Fe2CuTe, optimized geometry, DFT PBE; ΔE_f (raw) = 31 kJ/mol of atoms
1.0
-1.915 1.915 3.918
1.915 -1.915 3.918
1.915 1.915 -3.918
Fe Cu Te
2 1 1
direct
0.000 0.000 0.000 Fe
0.750 0.250 0.500 Fe
0.500 0.500 0.000 Cu
0.250 0.750 0.500 Te



6.
LiSnW3, optimized geometry, DFT PBE; DFT formation energy = 1.435 eV per atom
1.0
4.326 0.000 0.000
0.000 4.326 0.000
0.000 0.000 4.326
Li Sn W
1 1 3
direct
0.000 0.000 0.000 Li
0.500 0.500 0.500 Sn
0.000 0.000 0.500 W
0.000 0.500 0.000 W
0.500 0.000 0.000 W



7.
CaPm3Ho2Bi6, optimized geometry, DFT PBE; DFT formation energy = -0.854 eV per atom
1.0
9.901 -2.272 0.000
9.901 2.272 0.000
-2.037 0.000 8.865
Ca Pm Ho Bi
1 3 2 6
direct
0.000 0.000 0.000 Ca
0.000 0.000 0.500 Pm
0.335 0.335 0.165 Pm
0.665 0.665 0.835 Pm
0.333 0.333 0.667 Ho
0.667 0.667 0.333 Ho
0.168 0.168 0.091 Bi
0.169 0.169 0.580 Bi
0.497 0.497 0.747 Bi
0.503 0.503 0.253 Bi
0.831 0.831 0.420 Bi
0.832 0.832 0.909 Bi



8.
GaNiHg2, optimized geometry, DFT PBE; DFT formation energy = 0.145 eV per atom
1.0
-4.498 4.498 2.327
4.498 -4.498 2.327
4.498 4.498 -2.327
Ga Ni Hg
2 2 4
direct
0.000 0.000 0.000 Ga
0.750 0.250 0.500 Ga
0.250 0.750 0.500 Ni
0.500 0.500 0.000 Ni
0.246 0.125 0.621 Hg
0.375 0.754 0.879 Hg
0.504 0.625 0.379 Hg
0.875 0.496 0.121 Hg



Theoretical density, respectively: 7.38 8.07 10.99 10.57 8.75 13.89 8.57 9.34 Mg/m³.
Total energy, respectively: -30.4 -59.2 -62.0 -49.9 -22.9 -37.6 -58.9 -17.7 eV for the cell shown.